(1)
Mn2RhW: optimized geometry, GGA-PBE.

Unit cell a=2.724 b=4.683 c=5.357 alpha=53.56 beta=90.00 gamma=90.00
Each line ends with the local moment (μB).
Element x y z (fractional)
Mn 0.000 0.000 0.000  -2.57
Mn 0.500 0.500 0.000  2.21
Rh 0.500 0.500 0.500  0.04
W 0.000 0.000 0.500  -0.10

## Properties
ΔE to the lowest computed polymorph = 20 kJ/mol of formula units

(2)
ScZn3Pd6: optimized geometry, GGA-PBE.

Unit cell a=4.126 b=8.231 c=9.055 alpha=97.17 beta=90.00 gamma=90.00
Element x y z (fractional)
Sc 0.250 0.938 0.620
Sc 0.750 0.062 0.380
Zn 0.250 0.550 0.396
Zn 0.750 0.450 0.604
Zn 0.250 0.348 0.812
Zn 0.750 0.652 0.188
Zn 0.250 0.753 0.979
Zn 0.750 0.247 0.021
Pd 0.250 0.460 0.100
Pd 0.750 0.540 0.900
Pd 0.250 0.152 0.213
Pd 0.750 0.848 0.787
Pd 0.250 0.625 0.692
Pd 0.750 0.375 0.308
Pd 0.250 0.264 0.516
Pd 0.750 0.736 0.484
Pd 0.250 0.835 0.289
Pd 0.750 0.165 0.711
Pd 0.250 0.065 0.911
Pd 0.750 0.935 0.089

## Properties
E_tot = -4.7637 eV/atom

(3)
Ba2NaHgF6: optimized geometry, GGA-PBE.

Unit cell a=6.409 b=6.409 c=6.411 alpha=59.99 beta=59.99 gamma=90.00
Element x y z (fractional)
Ba 0.250 0.750 0.500
Ba 0.750 0.250 0.500
Na 0.000 0.000 0.000
Hg 0.500 0.500 0.000
F 0.235 0.765 0.000
F 0.765 0.765 0.000
F 0.235 0.235 0.530
F 0.765 0.235 0.000
F 0.235 0.235 0.000
F 0.765 0.765 0.470

## Properties
formation energy from raw total energies = -2.692 eV/atom